[1]
VASP calculation (PBE) on Tb3SmRh after structural relaxation.

The calculation puts the formation energy at -0.2829 eV/atom. The offset from the most stable computed form is 0.0 kJ/mol of atoms.

The structure belongs to space group Pmn2_1 (No. 31); the cell edges are 7.6108, 6.5403 and 6.2078 Å and the angles 90.00°, 90.00° and 90.00°. The distinct sites, in fractional coordinates, are Tb at (0.0000, 0.1526, 0.0000), Tb at (0.2489, 0.6834, 0.0089), Sm at (0.0000, 0.8519, 0.5166) and Rh at (0.0000, 0.4965, 0.2583).

[2]
VASP calculation (PBE) on CsAl2Bi2S6 after structural relaxation.

For the formation energy from raw total energies, the calculation gives -0.64 eV per atom.

The structure belongs to space group P-1 (No. 2); the cell edges are 7.5811, 7.9099 and 8.0668 Å and the angles 118.65°, 90.95° and 116.77°. The distinct sites, in fractional coordinates, are Cs at (0.0000, 0.0000, 0.0000), Al at (0.4563, 0.7979, 0.3412), Bi at (0.3418, 0.6639, 0.6643), S at (0.1371, 0.5641, 0.3295), S at (0.3351, 0.2299, 0.4786) and S at (0.4616, 0.1225, 0.8834).

[3]
VASP calculation (PBE) on Li5TbAg6 after structural relaxation.

The calculation puts the formation energy at -0.1959 eV/atom. The offset from the most stable computed form is 0.0 kJ/mol of atoms.

The structure belongs to space group Immm (No. 71); the cell edges are 4.7242, 6.4838 and 13.9237 Å and the angles 90.00°, 90.00° and 90.00°. The distinct sites, in fractional coordinates, are Li at (0.0000, 0.0000, 0.0000), Li at (0.0000, 0.0000, 0.3388), Li at (0.0000, 0.5000, 0.3321), Tb at (0.0000, 0.5000, 0.0000), Ag at (0.0000, 0.2361, 0.1770) and Ag at (0.0000, 0.2784, 0.5000).

| no. | energy (eV/atom) |
| --- | --- |
| 1 | -5.475 |
| 2 | -4.355 |
| 3 | -2.805 |